[1]
# KMn2W | Alexandria | PBE | optimized geometry
data_KMn2W
_chemical_formula_sum 'K1 Mn2 W1'
_space_group_name_H-M_alt 'P 4/m m m'
_space_group_IT_number 123
_space_group_name_Hall '-P 4 2'
_cell_length_a 3.1630
_cell_length_b 3.1630
_cell_length_c 8.3341
_cell_angle_alpha 90.00
_cell_angle_beta 90.00
_cell_angle_gamma 90.00
loop_
_atom_site_label
_atom_site_type_symbol
_atom_site_fract_x
_atom_site_fract_y
_atom_site_fract_z
_atom_site_occupancy
K1 K 0.0000 0.0000 0.0000 1
Mn1 Mn 0.5000 0.5000 0.3421 1
W1 W 0.0000 0.0000 0.5000 1
# Spin magnetization ... 5.42 μB/f.u.
# Polymorph energy (0 for the lowest one) ... 0.000 eV/atom
# Calculated formation energy ... 659.2 meV per atom

[2]
# KMn2W | Alexandria | PBE | optimized geometry
data_KMn2W
_chemical_formula_sum 'K2 Mn4 W2'
_space_group_name_H-M_alt 'C m m 2'
_space_group_IT_number 35
_cell_length_a 3.4263
_cell_length_b 4.3658
_cell_length_c 9.7455
_cell_angle_alpha 90.00
_cell_angle_beta 90.00
_cell_angle_gamma 90.00
loop_
_space_group_symop_operation_xyz
'x,y,z'
'-x,-y,z'
'-x,y,z'
'x,-y,z'
'x+1/2,y+1/2,z'
'-x+1/2,-y+1/2,z'
'-x+1/2,y+1/2,z'
'x+1/2,-y+1/2,z'
loop_
_atom_site_label
_atom_site_type_symbol
_atom_site_fract_x
_atom_site_fract_y
_atom_site_fract_z
_atom_site_occupancy
K1 K 0.0000 0.0000 0.0000 1
Mn1 Mn 0.0000 0.0000 0.4864 1
Mn2 Mn 0.0000 0.5000 0.3167 1
W1 W 0.0000 0.5000 0.6770 1
# Spin magnetization ... 1.81 μB/f.u.
# Polymorph energy (0 for the lowest one) ... 0.187 eV/atom
# Calculated formation energy ... 846.0 meV per atom

[3]
# K2YMnW | Alexandria | PBE | optimized geometry
data_K2YMnW
_chemical_formula_sum 'K2 Y1 Mn1 W1'
_space_group_name_H-M_alt 'P 4/m m m'
_space_group_IT_number 123
_space_group_name_Hall '-P 4 2'
_cell_length_a 6.3215
_cell_length_b 6.3215
_cell_length_c 4.3370
_cell_angle_alpha 90.00
_cell_angle_beta 90.00
_cell_angle_gamma 90.00
loop_
_atom_site_label
_atom_site_type_symbol
_atom_site_fract_x
_atom_site_fract_y
_atom_site_fract_z
_atom_site_occupancy
K1 K 0.0000 0.5000 0.0000 1
Y1 Y 0.0000 0.0000 0.5000 1
Mn1 Mn 0.5000 0.5000 0.5000 1
W1 W 0.5000 0.5000 0.0000 1
# Spin magnetization ... 0.85 μB/f.u.
# Calculated formation energy ... 1817.8 meV per atom